Density functional theory data (GGA-PBE) for a geometry-optimized PrYBeN2 structure.

The structure in extended XYZ format:
```
10
Lattice="5.013 0.000 0.000 0.000 5.268 0.000 0.000 0.000 6.626" Properties=species:S:1:pos:R:3 pbc="T T T"
Pr 0.000 0.000 1.656
Pr 0.000 0.000 4.969
Y 2.507 2.634 1.656
Y 2.507 2.634 4.969
Be 0.000 2.634 0.000
Be 0.000 2.634 3.313
N 1.159 1.566 0.000
N 1.159 3.701 3.313
N 3.855 1.566 3.313
N 3.855 3.701 0.000
```

Values from the calculation:
space group	Pccm
formation energy (no corrections)	-4.3	eV per formula unit

=====

Density functional theory data (GGA-PBE) for a geometry-optimized Cs3AcF7 structure.

The structure in extended XYZ format:
```
11
Lattice="4.971 -4.833 0.000 4.971 4.833 0.000 -4.700 0.000 6.100" Properties=species:S:1:pos:R:3 pbc="T T T"
Cs 0.000 0.000 0.000
Cs 2.372 2.218 3.407
Cs 2.372 -2.218 3.407
Ac 4.924 0.000 0.618
F -0.266 1.623 4.950
F 2.639 0.000 1.398
F 4.942 2.298 1.564
F -0.266 -1.623 4.950
F 2.390 0.000 5.655
F 5.889 0.000 2.930
F 4.942 -2.298 1.564
```

Values from the calculation:
space group	Cm
formation energy (no corrections)	-33.0	eV per formula unit

=====

Density functional theory data (GGA-PBE) for a geometry-optimized BaGeI2O structure.

The structure in extended XYZ format:
```
5
Lattice="6.207 0.000 0.000 0.000 6.207 0.000 0.000 0.000 4.018" Properties=species:S:1:pos:R:3 pbc="T T T"
Ba 0.000 0.000 0.000
Ge 3.104 3.104 2.009
I 0.000 3.104 2.009
I 3.104 0.000 2.009
O 3.104 3.104 0.000
```

Values from the calculation:
space group	P4/mmm
distance to the lowest polymorph of the same formula	0	meV/atom
formation energy (no corrections)	-5.0	eV per formula unit

=====

Density functional theory data (GGA-PBE) for a geometry-optimized Li2TcW structure.

The structure in extended XYZ format:
```
4
Lattice="-2.149 2.149 3.047 2.149 -2.149 3.047 2.149 2.149 -3.047" Properties=species:S:1:pos:R:3 pbc="T T T"
Li 0.000 0.000 0.000
Li 0.000 2.149 1.523
Tc 2.149 0.000 1.523
W 0.000 0.000 3.047
```

Values from the calculation:
space group	I-4m2
distance to the lowest polymorph of the same formula	180	meV/atom
energy of formation from the pure elements	0.40	eV/atom

=====

Density functional theory data (GGA-PBE) for a geometry-optimized PmPrCo10 structure.

The structure in extended XYZ format:
```
12
Lattice="3.941 0.000 0.000 0.000 5.011 0.000 0.000 0.000 8.696" Properties=species:S:1:pos:R:3 pbc="T T T"
Pm 0.000 0.000 0.000
Pr 0.000 2.505 4.348
Co 0.000 0.000 2.867
Co 0.000 0.000 5.828
Co 0.000 2.505 1.434
Co 0.000 2.505 7.261
Co 1.970 0.000 4.348
Co 1.970 1.245 2.156
Co 1.970 1.245 6.540
Co 1.970 2.505 0.000
Co 1.970 3.765 2.156
Co 1.970 3.765 6.540
```

Values from the calculation:
space group	Pmmm
energy of formation from the pure elements	-0.03	eV/atom

=====

Density functional theory data (GGA-PBE) for a geometry-optimized La3AsN2 structure.

The structure in extended XYZ format:
```
12
Lattice="11.279 -2.168 0.000 11.279 2.168 0.000 -2.007 0.000 6.436" Properties=species:S:1:pos:R:3 pbc="T T T"
La 0.721 0.000 1.622
La 4.771 0.000 1.245
La 8.667 0.000 1.041
La 11.885 0.000 5.395
La 15.780 0.000 5.191
La 19.830 0.000 4.814
As 6.874 0.000 3.688
As 13.678 0.000 2.748
N -0.526 0.000 5.890
N 4.713 0.000 6.428
N 15.838 0.000 0.008
N 21.078 0.000 0.545
```

Values from the calculation:
space group	C2/m
distance to the lowest polymorph of the same formula	0	meV/atom
formation energy (no corrections)	-7.8	eV per formula unit

=====

Density functional theory data (GGA-PBE) for a geometry-optimized Fe3Co4 structure.

The structure in extended XYZ format:
```
7
Lattice="-1.242 1.242 12.525 1.242 -1.242 12.525 1.242 1.242 -12.525" Properties=species:S:1:pos:R:3 pbc="T T T"
Fe 0.000 0.000 0.000
Fe 0.000 0.000 10.714
Fe 0.000 0.000 14.336
Co 0.000 0.000 3.643
Co 0.000 0.000 7.164
Co 0.000 0.000 17.886
Co 0.000 0.000 21.407
```

Values from the calculation:
space group	I4/mmm
distance to the lowest polymorph of the same formula	89	meV/atom
energy of formation from the pure elements	0.05	eV/atom

=====

Density functional theory data (GGA-PBE) for a geometry-optimized PrTlZnHg structure.

The structure in extended XYZ format:
```
4
Lattice="0.000 3.688 3.688 3.688 0.000 3.688 3.688 3.688 0.000" Properties=species:S:1:pos:R:3 pbc="T T T"
Pr 0.000 0.000 0.000
Tl 3.688 3.688 3.688
Zn 1.844 1.844 1.844
Hg 5.533 5.533 5.533
```

Values from the calculation:
space group	F-43m
energy of formation from the pure elements	-0.25	eV/atom

=====

Density functional theory data (GGA-PBE) for a geometry-optimized SbH2Pt structure.

The structure in extended XYZ format:
```
4
Lattice="0.000 2.874 2.874 2.874 0.000 2.874 2.874 2.874 0.000" Properties=species:S:1:pos:R:3 pbc="T T T"
Sb 0.000 0.000 0.000
H 1.437 1.437 1.437
H 4.312 4.312 4.312
Pt 2.874 2.874 2.874
```

Values from the calculation:
space group	Fm-3m
distance to the lowest polymorph of the same formula	467	meV/atom

=====

Density functional theory data (GGA-PBE) for a geometry-optimized LaGdRu2 structure.

The structure in extended XYZ format:
```
4
Lattice="0.000 3.491 3.491 3.491 0.000 3.491 3.491 3.491 0.000" Properties=species:S:1:pos:R:3 pbc="T T T"
La 0.000 0.000 0.000
Gd 3.491 3.491 3.491
Ru 1.746 1.746 1.746
Ru 5.237 5.237 5.237
```

Values from the calculation:
space group	Fm-3m
distance to the lowest polymorph of the same formula	2	meV/atom
energy of formation from the pure elements	-0.15	eV/atom

=====

Density functional theory data (GGA-PBE) for a geometry-optimized TaOsW2 structure.

The structure in extended XYZ format:
```
4
Lattice="-1.588 2.267 4.490 1.588 -2.267 4.490 1.588 2.267 -4.490" Properties=species:S:1:pos:R:3 pbc="T T T"
Ta 0.000 0.000 0.000
Os 1.588 0.000 2.274
W 0.000 0.000 4.555
W 0.000 2.267 2.241
```

Values from the calculation:
space group	Imm2
distance to the lowest polymorph of the same formula	53	meV/atom
energy of formation from the pure elements	0.00	eV/atom

=====

Density functional theory data (GGA-PBE) for a geometry-optimized Tb3PuRu2 structure.

The structure in extended XYZ format:
```
12
Lattice="8.132 -2.049 0.000 8.132 2.049 0.000 -4.913 0.000 9.546" Properties=species:S:1:pos:R:3 pbc="T T T"
Tb -0.129 0.000 1.922
Tb 0.409 0.000 5.678
Tb 0.635 0.000 9.312
Tb 10.716 0.000 0.234
Tb 10.941 0.000 3.868
Tb 11.480 0.000 7.623
Pu 5.531 0.000 3.303
Pu 5.819 0.000 6.242
Ru -1.853 0.000 7.868
Ru 3.248 0.000 5.765
Ru 8.103 0.000 3.781
Ru 13.204 0.000 1.678
```

Values from the calculation:
space group	C2/m
distance to the lowest polymorph of the same formula	58	meV/atom
energy of formation from the pure elements	-0.15	eV/atom

=====

Let's list magnetic moment in order: 0.000; 1.120; 0.200; 0.000; 14.075; 0.000; 9.247; 0.000; 0.000; 7.029; 0.000; 4.964 μB/f.u..